Entry 1:
## Ac8GeIr3Br3 (PBE)

Data for a relaxed structure of Ac8GeIr3Br3.

Unit cell a=9.3778 b=9.3778 c=9.3778 alpha=56.90 beta=56.90 gamma=56.90
Closest atoms and distances in Å follow each position.
Atoms (fractional coordinates):
1 Ac 0.2174 0.7439 0.7439  2 Ir 2.98, 1 Ge 3.16
2 Ac 0.2342 0.2342 0.2342  3 Ir 3.03
3 Ac 0.2561 0.2561 0.7826  2 Ir 2.98, 1 Ge 3.16
4 Ac 0.2561 0.7826 0.2561  2 Ir 2.98, 1 Ge 3.16
5 Ac 0.7439 0.2174 0.7439  2 Ir 2.98, 1 Ge 3.16
6 Ac 0.7439 0.7439 0.2174  2 Ir 2.98, 1 Ge 3.16
7 Ac 0.7658 0.7658 0.7658  3 Ir 3.03
8 Ac 0.7826 0.2561 0.2561  2 Ir 2.98, 1 Ge 3.16
9 Ge 0.5000 0.5000 0.5000  6 Ac 3.16
10 Ir 0.0000 0.0000 0.5000  6 Ac 2.98-3.03
11 Ir 0.0000 0.5000 0.0000  6 Ac 2.98-3.03
12 Ir 0.5000 0.0000 0.0000  6 Ac 2.98-3.03
13 Br 0.0000 0.5000 0.5000  6 Ac 3.47-3.52
14 Br 0.5000 0.0000 0.5000  6 Ac 3.47-3.52
15 Br 0.5000 0.5000 0.0000  6 Ac 3.47-3.52

E_form (uncorrected) (meV/atom): -994

***

Entry 2:
## BiAs2I8 (PBE)

Data for a relaxed structure of BiAs2I8.

Unit cell a=8.8142 b=8.8142 c=8.0355 alpha=91.57 beta=91.57 gamma=69.09
Closest atoms and distances in Å follow each position.
Atoms (fractional coordinates):
1 Bi 0.0000 0.0000 0.0000  6 I 3.14-3.22
2 As 0.1969 0.1969 0.6632  4 I 2.61-2.86
3 As 0.8031 0.8031 0.3368  4 I 2.61-2.86
4 I 0.1035 0.6594 0.1680  1 As 2.86, 1 Bi 3.14
5 I 0.1329 0.1329 0.3292  1 As 2.81
6 I 0.3406 0.8965 0.8320  1 As 2.86, 1 Bi 3.14
7 I 0.3764 0.3764 0.6628  1 As 2.61
8 I 0.6236 0.6236 0.3372  1 As 2.61
9 I 0.6594 0.1035 0.1680  1 As 2.86, 1 Bi 3.14
10 I 0.8671 0.8671 0.6708  1 As 2.81
11 I 0.8965 0.3406 0.8320  1 As 2.86, 1 Bi 3.14

E_form (uncorrected) (meV/atom): -122

***

Entry 3:
## CdGeI2 (PBE)

Data for a relaxed structure of CdGeI2.

Unit cell a=5.5171 b=5.5171 c=5.5171 alpha=60.00 beta=60.00 gamma=60.00
Closest atoms and distances in Å follow each position.
Atoms (fractional coordinates):
1 Cd 0.0000 0.0000 0.0000  8 I 3.38
2 Ge 0.5000 0.5000 0.5000  8 I 3.38
3 I 0.2500 0.2500 0.2500  4 Ge 3.38, 4 Cd 3.38
4 I 0.7500 0.7500 0.7500  4 Ge 3.38, 4 Cd 3.38

E_form (uncorrected) (meV/atom): 194
Excess energy over the best structure of this formula in the dataset (eV/atom): 0.283

***

Entry 4:
## ZrHg2Se (PBE)

Data for a relaxed structure of ZrHg2Se.

Unit cell a=5.2402 b=5.2402 c=5.6847 alpha=110.60 beta=110.60 gamma=40.25
Closest atoms and distances in Å follow each position.
Atoms (fractional coordinates):
1 Zr 0.0000 0.0000 0.0000  3 Se 2.70-2.91, 2 Hg 2.99
2 Hg 0.5040 0.5040 0.5834  3 Hg 2.87-3.01, 2 Zr 2.99
3 Hg 0.7402 0.7402 0.4024  3 Hg 2.87-3.01, 2 Se 3.16, 2 Zr 3.17
4 Se 0.2930 0.2930 0.9877  3 Zr 2.70-2.91

E_form (uncorrected) (meV/atom): -365

***

Entry 5:
## Y2Nb3Ge4 (PBE)

Data for a relaxed structure of Y2Nb3Ge4.

Unit cell a=7.1892 b=7.1889 c=7.0538 alpha=90.00 beta=109.40 gamma=90.00
Closest atoms and distances in Å follow each position.
Atoms (fractional coordinates):
1 Y 0.1874 0.1713 0.0591  7 Ge 2.88-3.09
2 Y 0.1874 0.3287 0.5591  7 Ge 2.88-3.09
3 Y 0.8126 0.6713 0.4409  7 Ge 2.88-3.09
4 Y 0.8126 0.8287 0.9409  7 Ge 2.88-3.09
5 Nb 0.2557 0.6747 0.2467  6 Ge 2.62-2.79
6 Nb 0.2557 0.8253 0.7467  6 Ge 2.62-2.79
7 Nb 0.5000 0.0000 0.5000  6 Ge 2.77-2.83
8 Nb 0.5000 0.5000 0.0000  6 Ge 2.77-2.83
9 Nb 0.7443 0.1747 0.2533  6 Ge 2.62-2.79
10 Nb 0.7443 0.3253 0.7533  6 Ge 2.62-2.79
11 Ge 0.0848 0.5377 0.8578  4 Nb 2.65-2.83, 1 Ge 2.73, 2 Y 2.88-2.97
12 Ge 0.0848 0.9623 0.3578  4 Nb 2.65-2.83, 1 Ge 2.73, 2 Y 2.88-2.97
13 Ge 0.4917 0.1310 0.8660  5 Nb 2.62-2.81, 1 Ge 2.64, 1 Y 2.89
14 Ge 0.4917 0.3690 0.3660  5 Nb 2.62-2.81, 1 Ge 2.64, 1 Y 2.89
15 Ge 0.5083 0.6310 0.6340  5 Nb 2.62-2.81, 1 Ge 2.64, 1 Y 2.89
16 Ge 0.5083 0.8690 0.1340  5 Nb 2.62-2.81, 1 Ge 2.64, 1 Y 2.89
17 Ge 0.9152 0.0377 0.6422  4 Nb 2.65-2.83, 1 Ge 2.73, 2 Y 2.88-2.97
18 Ge 0.9152 0.4623 0.1422  4 Nb 2.65-2.83, 1 Ge 2.73, 2 Y 2.88-2.97

E_form (eV per formula unit): -6.75
Excess energy over the best structure of this formula in the dataset (eV/atom): 0.008

***

Entry 6:
## Ce3SbH (PBE)

Data for a relaxed structure of Ce3SbH.

Unit cell a=6.3450 b=6.3450 c=9.9691 alpha=104.84 beta=104.84 gamma=37.46
Closest atoms and distances in Å follow each position.
Atoms (fractional coordinates):
1 Ce 0.1160 0.1160 0.1416  1 H 2.31
2 Ce 0.1404 0.1404 0.6299  2 H 2.34
3 Ce 0.3703 0.3703 0.0441  1 H 2.39
4 Ce 0.6297 0.6297 0.9559  1 H 2.39
5 Ce 0.8596 0.8596 0.3701  2 H 2.34
6 Ce 0.8840 0.8840 0.8584  1 H 2.31
7 Sb 0.4198 0.4198 0.6345  1 H 3.13, 7 Ce 3.14-3.35
8 Sb 0.5802 0.5802 0.3655  1 H 3.13, 7 Ce 3.14-3.35
9 H 0.3108 0.3108 0.2538  4 Ce 2.31-2.39
10 H 0.6892 0.6892 0.7462  4 Ce 2.31-2.39

Excess energy over the best structure of this formula in the dataset (eV/atom): 0.065

***

Entry 7:
## RbCaSmCl6 (PBE)

Data for a relaxed structure of RbCaSmCl6.

Unit cell a=7.2228 b=7.2228 c=14.2071 alpha=90.00 beta=90.00 gamma=120.00
Closest atoms and distances in Å follow each position.
Atoms (fractional coordinates):
1 Rb 0.0000 0.0000 0.0000  6 Cl 3.38
2 Rb 0.0000 0.0000 0.5000  6 Cl 3.38
3 Ca 0.3333 0.6667 0.2500  6 Cl 2.76
4 Ca 0.6667 0.3333 0.7500  6 Cl 2.76
5 Sm 0.3333 0.6667 0.7500  6 Cl 2.72
6 Sm 0.6667 0.3333 0.2500  6 Cl 2.72
7 Cl 0.0040 0.3768 0.6421  1 Sm 2.72, 1 Ca 2.76
8 Cl 0.0040 0.6272 0.8579  1 Sm 2.72, 1 Ca 2.76
9 Cl 0.3728 0.3768 0.8579  1 Sm 2.72, 1 Ca 2.76
10 Cl 0.3728 0.9960 0.6421  1 Sm 2.72, 1 Ca 2.76
11 Cl 0.3768 0.0040 0.1421  1 Sm 2.72, 1 Ca 2.76
12 Cl 0.3768 0.3728 0.3579  1 Sm 2.72, 1 Ca 2.76
13 Cl 0.6232 0.6272 0.6421  1 Sm 2.72, 1 Ca 2.76
14 Cl 0.6232 0.9960 0.8579  1 Sm 2.72, 1 Ca 2.76
15 Cl 0.6272 0.0040 0.3579  1 Sm 2.72, 1 Ca 2.76
16 Cl 0.6272 0.6232 0.1421  1 Sm 2.72, 1 Ca 2.76
17 Cl 0.9960 0.3728 0.1421  1 Sm 2.72, 1 Ca 2.76
18 Cl 0.9960 0.6232 0.3579  1 Sm 2.72, 1 Ca 2.76

E_form (uncorrected) (meV/atom): -2286

***

Entry 8:
## Ce4CuAu2 (PBE)

Data for a relaxed structure of Ce4CuAu2.

Unit cell a=6.2525 b=6.2525 c=4.9187 alpha=90.00 beta=90.00 gamma=104.75
Closest atoms and distances in Å follow each position.
Atoms (fractional coordinates):
1 Ce 0.0000 0.5000 0.5000  4 Au 3.11, 2 Cu 3.13
2 Ce 0.2448 0.2448 0.0000  4 Au 3.11-3.14, 2 Cu 3.14
3 Ce 0.5000 0.0000 0.5000  4 Au 3.11, 2 Cu 3.13
4 Ce 0.7552 0.7552 0.0000  4 Au 3.11-3.14, 2 Cu 3.14
5 Cu 0.5000 0.5000 0.5000  8 Ce 3.13-3.14, 4 Au 3.46
6 Au 0.2548 0.7452 0.0000  8 Ce 3.11-3.14, 2 Cu 3.46
7 Au 0.7452 0.2548 0.0000  8 Ce 3.11-3.14, 2 Cu 3.46

E_form (eV per formula unit): -1.62

***

Entry 9:
## LiTaO3 (PBE)

Data for a relaxed structure of LiTaO3.

Unit cell a=5.1214 b=8.8982 c=4.7476 alpha=90.00 beta=90.00 gamma=90.00
Closest atoms and distances in Å follow each position.
Atoms (fractional coordinates):
1 Li 0.0000 0.0000 0.0000  4 O 1.98-2.03
2 Li 0.0000 0.5000 0.0000  4 O 1.98-2.03
3 Li 0.5000 0.0000 0.5000  4 O 1.98-2.03
4 Li 0.5000 0.5000 0.5000  4 O 1.98-2.03
5 Ta 0.0462 0.2500 0.4410  6 O 1.92-2.09
6 Ta 0.4538 0.7500 0.9410  6 O 1.92-2.09
7 Ta 0.5462 0.2500 0.0590  6 O 1.92-2.09
8 Ta 0.9538 0.7500 0.5590  6 O 1.92-2.09
9 O 0.1251 0.7500 0.1990  2 Ta 1.92-2.08
10 O 0.2109 0.6068 0.7124  2 Ta 1.97-2.09, 2 Li 1.98-2.03
11 O 0.2109 0.8932 0.7124  2 Ta 1.97-2.09, 2 Li 1.98-2.03
12 O 0.2891 0.1068 0.2124  2 Ta 1.97-2.09, 2 Li 1.98-2.03
13 O 0.2891 0.3932 0.2124  2 Ta 1.97-2.09, 2 Li 1.98-2.03
14 O 0.3749 0.2500 0.6990  2 Ta 1.92-2.08
15 O 0.6251 0.7500 0.3010  2 Ta 1.92-2.08
16 O 0.7109 0.6068 0.7876  2 Ta 1.97-2.09, 2 Li 1.98-2.03
17 O 0.7109 0.8932 0.7876  2 Ta 1.97-2.09, 2 Li 1.98-2.03
18 O 0.7891 0.1068 0.2876  2 Ta 1.97-2.09, 2 Li 1.98-2.03
19 O 0.7891 0.3932 0.2876  2 Ta 1.97-2.09, 2 Li 1.98-2.03
20 O 0.8749 0.2500 0.8010  2 Ta 1.92-2.08

E_form (uncorrected) (meV/atom): -2598

***

Entry 10:
## AlCdTeO5 (PBE)

Data for a relaxed structure of AlCdTeO5.

Unit cell a=5.5300 b=5.5300 c=7.7761 alpha=107.98 beta=107.98 gamma=95.23
Closest atoms and distances in Å follow each position.
Atoms (fractional coordinates):
1 Al 0.0000 0.5000 0.0000  6 O 1.88-1.99
2 Al 0.5000 0.0000 0.5000  6 O 1.88-1.99
3 Cd 0.0637 0.9363 0.7500  4 O 2.19-2.35
4 Cd 0.9363 0.0637 0.2500  4 O 2.19-2.35
5 Te 0.4684 0.5316 0.7500  4 O 1.92-2.04
6 Te 0.5316 0.4684 0.2500  4 O 1.92-2.04
7 O 0.1948 0.2459 0.0347  1 Al 1.88, 1 Te 2.04
8 O 0.2179 0.6172 0.8709  1 Te 1.92, 1 Al 1.97
9 O 0.2459 0.1948 0.5347  1 Al 1.88, 1 Te 2.04
10 O 0.2596 0.7404 0.2500  2 Al 1.99, 1 Te 2.22
11 O 0.3828 0.7821 0.6291  1 Te 1.92, 1 Al 1.97
12 O 0.6172 0.2179 0.3709  1 Te 1.92, 1 Al 1.97
13 O 0.7404 0.2596 0.7500  2 Al 1.99, 1 Te 2.22
14 O 0.7541 0.8052 0.4653  1 Al 1.88, 1 Te 2.04
15 O 0.7821 0.3828 0.1291  1 Te 1.92, 1 Al 1.97
16 O 0.8052 0.7541 0.9653  1 Al 1.88, 1 Te 2.04

E_form (uncorrected) (meV/atom): -1490

***

| no. | E_tot (eV for the cell shown) | density (g cm⁻³) | calculated volume (Å³ per cell) |
| --- | --- | --- | --- |
| 1 | -84.00 | 8.294 | 541.6 |
| 2 | -26.93 | 3.915 | 582.8 |
| 3 | -7.86 | 6.137 | 118.7 |
| 4 | -14.10 | 10.146 | 93.5 |
| 5 | -136.72 | 7.216 | 343.8 |
| 6 | -55.72 | 7.674 | 235.0 |
| 7 | -78.68 | 2.528 | 641.9 |
| 8 | -36.01 | 9.090 | 186.0 |
| 9 | -166.51 | 7.242 | 216.4 |
| 10 | -89.02 | 5.474 | 210.5 |